No. 1
First-principles (PBEsol) data for crystalline Ta2Pb2O7 at its relaxed geometry, as listed in Alexandria.

The uncorrected formation energy comes out at -2.28 eV per atom. For the relative energy among the computed polymorphs, the calculation gives 0 meV/atom. The calculation puts the density of states at the Fermi level at 0.00 states/eV per atom. For the final energy, the calculation gives -189.9 eV/cell.

a b c (Å): 13.649 13.649 5.771
angles (deg): 90.00 90.00 163.27
Fractional positions:
Ta: 0.056 0.944 0.500
Ta: 0.160 0.840 0.003
Ta: 0.840 0.160 0.503
Ta: 0.944 0.056 0.000
Pb: 0.286 0.714 0.996
Pb: 0.444 0.556 0.481
Pb: 0.556 0.444 0.981
Pb: 0.714 0.286 0.496
O: 0.001 0.999 0.275
O: 0.098 0.902 0.785
O: 0.105 0.895 0.273
O: 0.207 0.793 0.764
O: 0.211 0.789 0.229
O: 0.350 0.650 0.509
O: 0.449 0.551 0.035
O: 0.551 0.449 0.535
O: 0.650 0.350 0.009
O: 0.789 0.211 0.729
O: 0.793 0.207 0.264
O: 0.895 0.105 0.773
O: 0.902 0.098 0.285
O: 0.999 0.001 0.775

No. 2
First-principles (PBEsol) data for crystalline KPtSCl2 at its relaxed geometry, as listed in Alexandria.

The uncorrected formation energy comes out at -0.68 eV per atom. The calculation puts the density of states at the Fermi level at 0.54 states/eV per atom. For the final energy, the calculation gives -19.9 eV/cell.

a b c (Å): 5.075 5.075 4.497
angles (deg): 90.00 90.00 90.00
Fractional positions:
K: 0.000 0.000 0.000
Pt: 0.500 0.500 0.500
S: 0.500 0.500 0.000
Cl: 0.000 0.500 0.500
Cl: 0.500 0.000 0.500

No. 3
First-principles (PBEsol) data for crystalline Sm3ReO7 at its relaxed geometry, as listed in Alexandria.

The uncorrected formation energy comes out at -2.88 eV per atom. The calculation puts the density of states at the Fermi level at 0.39 states/eV per atom. For the final energy, the calculation gives -194.0 eV/cell.

a b c (Å): 6.495 6.495 7.473
angles (deg): 90.00 90.00 68.94
Fractional positions:
Sm: 0.000 0.000 0.000
Sm: 0.000 0.000 0.500
Sm: 0.072 0.473 0.750
Sm: 0.473 0.072 0.250
Sm: 0.527 0.928 0.750
Sm: 0.928 0.527 0.250
Re: 0.500 0.500 0.000
Re: 0.500 0.500 0.500
O: 0.106 0.157 0.250
O: 0.157 0.106 0.750
O: 0.180 0.567 0.033
O: 0.180 0.567 0.467
O: 0.433 0.820 0.033
O: 0.433 0.820 0.467
O: 0.449 0.551 0.750
O: 0.551 0.449 0.250
O: 0.567 0.180 0.533
O: 0.567 0.180 0.967
O: 0.820 0.433 0.533
O: 0.820 0.433 0.967
O: 0.843 0.894 0.250
O: 0.894 0.843 0.750

No. 4
First-principles (PBEsol) data for crystalline CaCo3Sn at its relaxed geometry, as listed in Alexandria.

The calculation puts the density of states at the Fermi level at 2.21 states/eV per atom. The formation energy from the elements comes out at 438 kJ/mol of formula units. For the final energy, the calculation gives -25.1 eV/cell.

a b c (Å): 4.685 4.685 4.685
angles (deg): 90.00 90.00 90.00
Fractional positions:
Ca: 0.000 0.000 0.000
Co: 0.000 0.500 0.500
Co: 0.500 0.000 0.500
Co: 0.500 0.500 0.000
Sn: 0.500 0.500 0.500

No. 5
First-principles (PBEsol) data for crystalline NaNb2PdF at its relaxed geometry, as listed in Alexandria.

The uncorrected formation energy comes out at 1.02 eV per atom. The calculation puts the density of states at the Fermi level at 1.59 states/eV per atom. For the final energy, the calculation gives -25.9 eV/cell.

a b c (Å): 4.816 4.816 5.512
angles (deg): 90.00 90.00 90.00
Fractional positions:
Na: 0.000 0.000 0.000
Nb: 0.000 0.500 0.500
Nb: 0.500 0.000 0.500
Pd: 0.000 0.000 0.500
F: 0.500 0.500 0.000

No. 6
First-principles (PBEsol) data for crystalline TcAg4Se at its relaxed geometry, as listed in Alexandria.

The uncorrected formation energy comes out at 0.67 eV per atom. The calculation puts the density of states at the Fermi level at 0.75 states/eV per atom. For the final energy, the calculation gives -24.3 eV/cell.

a b c (Å): 5.332 5.332 5.332
angles (deg): 60.00 60.00 60.00
Fractional positions:
Tc: 0.000 0.000 0.000
Ag: 0.375 0.375 0.375
Ag: 0.375 0.375 0.876
Ag: 0.375 0.876 0.375
Ag: 0.876 0.375 0.375
Se: 0.750 0.750 0.750

What is the final energy in the sixth record?
-24.3 eV/cell

final energy of number 2 (KPtSCl2)?
-19.9 eV/cell

Which of these has the highest final energy?
KPtSCl2

What is the final energy in the fourth record?
-25.1 eV/cell